one:
! CrAsI3 PBE optimized geometry; values from VASP
&SYSTEM
  ibrav = 0, nat = 5, ntyp = 3
/
ATOMIC_SPECIES
Cr 52.00 Cr.upf
As 74.92 As.upf
I 126.90 I.upf
ATOMIC_POSITIONS angstrom
Cr 0.000 0.000 0.000
As 2.858 2.858 2.858
I 0.000 2.858 2.858
I 2.858 0.000 2.858
I 2.858 2.858 0.000
CELL_PARAMETERS angstrom
5.717 0.000 0.000
0.000 5.717 0.000
0.000 0.000 5.717
! DOS(E_F) = 2.11 states/eV/f.u.

two:
! CrAsI3 PBE optimized geometry; values from VASP
&SYSTEM
  ibrav = 0, nat = 5, ntyp = 3
/
ATOMIC_SPECIES
Cr 52.00 Cr.upf
As 74.92 As.upf
I 126.90 I.upf
ATOMIC_POSITIONS angstrom
Cr 0.000 0.000 0.000
As 2.626 2.626 2.626
I 0.000 0.000 2.626
I 0.000 2.626 0.000
I 2.626 0.000 0.000
CELL_PARAMETERS angstrom
5.251 0.000 0.000
0.000 5.251 0.000
0.000 0.000 5.251
! DOS(E_F) = 10.40 states/eV/f.u.

Most stable to least stable, the ends of the list are one and two.

one:
! CrAs2I PBE optimized geometry; values from VASP
&SYSTEM
  ibrav = 0, nat = 8, ntyp = 3
/
ATOMIC_SPECIES
Cr 52.00 Cr.upf
As 74.92 As.upf
I 126.90 I.upf
ATOMIC_POSITIONS angstrom
Cr 0.000 0.000 0.000
Cr 0.000 3.042 3.188
As 0.743 1.521 1.594
As -1.521 2.299 4.782
As -0.743 4.563 1.594
As 1.521 3.786 4.782
I 3.042 0.000 3.188
I 0.000 0.000 6.376
CELL_PARAMETERS angstrom
-3.042 3.042 6.376
3.042 -3.042 6.376
3.042 3.042 -6.376
! DOS(E_F) = 2.55 states/eV/f.u.

two:
! CrAs2I PBE optimized geometry; values from VASP
&SYSTEM
  ibrav = 0, nat = 4, ntyp = 3
/
ATOMIC_SPECIES
Cr 52.00 Cr.upf
As 74.92 As.upf
I 126.90 I.upf
ATOMIC_POSITIONS angstrom
Cr 0.000 0.000 0.000
As 1.686 1.686 1.686
As 5.057 5.057 5.057
I 3.371 3.371 3.371
CELL_PARAMETERS angstrom
0.000 3.371 3.371
3.371 0.000 3.371
3.371 3.371 0.000
! DOS(E_F) = 4.56 states/eV/f.u.

Most stable to least stable, the ends of the list are one and two.

one:
! CrSbAsI2 PBE optimized geometry; values from VASP
&SYSTEM
  ibrav = 0, nat = 5, ntyp = 4
/
ATOMIC_SPECIES
Cr 52.00 Cr.upf
Sb 121.76 Sb.upf
As 74.92 As.upf
I 126.90 I.upf
ATOMIC_POSITIONS angstrom
Cr 0.000 0.000 0.000
Sb 2.807 2.807 0.000
As 2.807 2.807 2.795
I 0.000 2.807 2.795
I 2.807 0.000 2.795
CELL_PARAMETERS angstrom
5.615 0.000 0.000
0.000 5.615 0.000
0.000 0.000 5.590
! DOS(E_F) = 3.90 states/eV/f.u.

two:
! CrSbAsI2 PBE optimized geometry; values from VASP
&SYSTEM
  ibrav = 0, nat = 5, ntyp = 4
/
ATOMIC_SPECIES
Cr 52.00 Cr.upf
Sb 121.76 Sb.upf
As 74.92 As.upf
I 126.90 I.upf
ATOMIC_POSITIONS angstrom
Cr 0.000 0.000 0.000
Sb 0.000 0.000 2.637
As 2.549 2.549 2.637
I 0.000 2.549 0.000
I 2.549 0.000 0.000
CELL_PARAMETERS angstrom
5.099 0.000 0.000
0.000 5.099 0.000
0.000 0.000 5.275
! DOS(E_F) = 4.23 states/eV/f.u.

Most stable to least stable, the ends of the list are two and one.

one:
! CrSb2AsI PBE optimized geometry; values from VASP
&SYSTEM
  ibrav = 0, nat = 5, ntyp = 4
/
ATOMIC_SPECIES
Cr 52.00 Cr.upf
Sb 121.76 Sb.upf
As 74.92 As.upf
I 126.90 I.upf
ATOMIC_POSITIONS angstrom
Cr 0.000 0.000 0.000
Sb 0.000 2.530 0.000
Sb 2.530 0.000 0.000
As 2.530 2.530 2.535
I 0.000 0.000 2.535
CELL_PARAMETERS angstrom
5.060 0.000 0.000
0.000 5.060 0.000
0.000 0.000 5.071
! DOS(E_F) = 7.21 states/eV/f.u.

two:
! CrSb2AsI PBE optimized geometry; values from VASP
&SYSTEM
  ibrav = 0, nat = 5, ntyp = 4
/
ATOMIC_SPECIES
Cr 52.00 Cr.upf
Sb 121.76 Sb.upf
As 74.92 As.upf
I 126.90 I.upf
ATOMIC_POSITIONS angstrom
Cr 0.000 0.000 0.000
Sb 0.000 2.688 2.709
Sb 2.688 0.000 2.709
As 2.688 2.688 2.709
I 2.688 2.688 0.000
CELL_PARAMETERS angstrom
5.376 0.000 0.000
0.000 5.376 0.000
0.000 0.000 5.417
! DOS(E_F) = 5.87 states/eV/f.u.

Most stable to least stable, the ends of the list are one and two.

one:
! CrAsSe2I PBE optimized geometry; values from VASP
&SYSTEM
  ibrav = 0, nat = 5, ntyp = 4
/
ATOMIC_SPECIES
Cr 52.00 Cr.upf
As 74.92 As.upf
Se 78.96 Se.upf
I 126.90 I.upf
ATOMIC_POSITIONS angstrom
Cr 0.000 0.000 0.000
As 2.299 2.299 2.824
Se 0.000 2.299 0.000
Se 2.299 0.000 0.000
I 0.000 0.000 2.824
CELL_PARAMETERS angstrom
4.598 0.000 0.000
0.000 4.598 0.000
0.000 0.000 5.649
! DOS(E_F) = 9.35 states/eV/f.u.

two:
! CrAsSe2I PBE optimized geometry; values from VASP
&SYSTEM
  ibrav = 0, nat = 5, ntyp = 4
/
ATOMIC_SPECIES
Cr 52.00 Cr.upf
As 74.92 As.upf
Se 78.96 Se.upf
I 126.90 I.upf
ATOMIC_POSITIONS angstrom
Cr 0.000 0.000 0.000
As 0.000 0.000 2.641
Se 0.000 2.313 0.000
Se 2.313 0.000 0.000
I 2.313 2.313 2.641
CELL_PARAMETERS angstrom
4.626 0.000 0.000
0.000 4.626 0.000
0.000 0.000 5.283
! DOS(E_F) = 4.52 states/eV/f.u.

Most stable to least stable, the ends of the list are two and one.

one:
! CrTe2AsI PBE optimized geometry; values from VASP
&SYSTEM
  ibrav = 0, nat = 5, ntyp = 4
/
ATOMIC_SPECIES
Cr 52.00 Cr.upf
Te 127.60 Te.upf
As 74.92 As.upf
I 126.90 I.upf
ATOMIC_POSITIONS angstrom
Cr 0.000 0.000 0.000
Te 0.000 2.501 0.000
Te 2.501 0.000 0.000
As 2.501 2.501 2.705
I 0.000 0.000 2.705
CELL_PARAMETERS angstrom
5.002 0.000 0.000
0.000 5.002 0.000
0.000 0.000 5.409
! DOS(E_F) = 7.03 states/eV/f.u.

two:
! CrTe2AsI PBE optimized geometry; values from VASP
&SYSTEM
  ibrav = 0, nat = 5, ntyp = 4
/
ATOMIC_SPECIES
Cr 52.00 Cr.upf
Te 127.60 Te.upf
As 74.92 As.upf
I 126.90 I.upf
ATOMIC_POSITIONS angstrom
Cr 0.000 0.000 0.000
Te 0.000 2.764 2.762
Te 2.764 0.000 2.762
As 2.764 2.764 2.762
I 2.764 2.764 0.000
CELL_PARAMETERS angstrom
5.527 0.000 0.000
0.000 5.527 0.000
0.000 0.000 5.524
! DOS(E_F) = 7.00 states/eV/f.u.

Most stable to least stable, the ends of the list are one and two.

one:
! CrIn3As PBE optimized geometry; values from VASP
&SYSTEM
  ibrav = 0, nat = 5, ntyp = 3
/
ATOMIC_SPECIES
Cr 52.00 Cr.upf
In 114.82 In.upf
As 74.92 As.upf
ATOMIC_POSITIONS angstrom
Cr 0.000 0.000 0.000
In 0.000 0.000 2.604
In 0.000 2.604 0.000
In 2.604 0.000 0.000
As 2.604 2.604 2.604
CELL_PARAMETERS angstrom
5.208 0.000 0.000
0.000 5.208 0.000
0.000 0.000 5.208
! DOS(E_F) = 5.97 states/eV/f.u.

two:
! CrIn3As PBE optimized geometry; values from VASP
&SYSTEM
  ibrav = 0, nat = 5, ntyp = 3
/
ATOMIC_SPECIES
Cr 52.00 Cr.upf
In 114.82 In.upf
As 74.92 As.upf
ATOMIC_POSITIONS angstrom
Cr 0.000 0.000 0.000
In 0.000 2.648 2.648
In 2.648 0.000 2.648
In 2.648 2.648 0.000
As 2.648 2.648 2.648
CELL_PARAMETERS angstrom
5.296 0.000 0.000
0.000 5.296 0.000
0.000 0.000 5.296
! DOS(E_F) = 9.80 states/eV/f.u.

Most stable to least stable, the ends of the list are one and two.

one:
! Cr2AsIr2 PBE optimized geometry; values from VASP
&SYSTEM
  ibrav = 0, nat = 5, ntyp = 3
/
ATOMIC_SPECIES
Cr 52.00 Cr.upf
As 74.92 As.upf
Ir 192.22 Ir.upf
ATOMIC_POSITIONS angstrom
Cr 1.637 0.000 3.380
Cr 0.000 1.637 3.380
As 0.000 0.000 0.000
Ir 0.000 0.000 5.370
Ir 0.000 0.000 8.150
CELL_PARAMETERS angstrom
-1.637 1.637 6.760
1.637 -1.637 6.760
1.637 1.637 -6.760
! DOS(E_F) = 3.39 states/eV/f.u.

two:
! Cr2AsIr2 PBE optimized geometry; values from VASP
&SYSTEM
  ibrav = 0, nat = 10, ntyp = 3
/
ATOMIC_SPECIES
Cr 52.00 Cr.upf
As 74.92 As.upf
Ir 192.22 Ir.upf
ATOMIC_POSITIONS angstrom
Cr 1.197 2.491 0.000
Cr 2.491 6.178 0.000
Cr 4.884 1.197 0.000
Cr 6.178 4.884 0.000
As 0.000 0.000 1.370
As 3.687 3.687 1.370
Ir 0.973 4.661 1.370
Ir 2.714 0.973 1.370
Ir 4.661 6.402 1.370
Ir 6.402 2.714 1.370
CELL_PARAMETERS angstrom
7.375 0.000 0.000
0.000 7.375 0.000
0.000 0.000 2.740
! DOS(E_F) = 4.66 states/eV/f.u.

Most stable to least stable, the ends of the list are two and one.

one:
! LaCrAs2Ir PBE optimized geometry; values from VASP
&SYSTEM
  ibrav = 0, nat = 5, ntyp = 4
/
ATOMIC_SPECIES
La 138.91 La.upf
Cr 52.00 Cr.upf
As 74.92 As.upf
Ir 192.22 Ir.upf
ATOMIC_POSITIONS angstrom
La 0.000 0.000 0.000
Cr 2.330 2.330 2.369
As 0.000 2.330 2.369
As 2.330 0.000 2.369
Ir 2.330 2.330 0.000
CELL_PARAMETERS angstrom
4.661 0.000 0.000
0.000 4.661 0.000
0.000 0.000 4.738
! DOS(E_F) = 4.25 states/eV/f.u.

two:
! LaCrAs2Ir PBE optimized geometry; values from VASP
&SYSTEM
  ibrav = 0, nat = 5, ntyp = 4
/
ATOMIC_SPECIES
La 138.91 La.upf
Cr 52.00 Cr.upf
As 74.92 As.upf
Ir 192.22 Ir.upf
ATOMIC_POSITIONS angstrom
La 0.000 0.000 0.000
Cr 0.000 0.000 2.619
As 0.000 2.700 0.000
As 2.700 0.000 0.000
Ir 2.700 2.700 2.619
CELL_PARAMETERS angstrom
5.399 0.000 0.000
0.000 5.399 0.000
0.000 0.000 5.239
! DOS(E_F) = 9.12 states/eV/f.u.

Most stable to least stable, the ends of the list are one and two.

one:
! KCrAs3 PBE optimized geometry; values from VASP
&SYSTEM
  ibrav = 0, nat = 5, ntyp = 3
/
ATOMIC_SPECIES
K 39.10 K.upf
Cr 52.00 Cr.upf
As 74.92 As.upf
ATOMIC_POSITIONS angstrom
K 0.000 0.000 0.000
Cr 2.405 2.405 2.405
As 0.000 2.405 2.405
As 2.405 0.000 2.405
As 2.405 2.405 0.000
CELL_PARAMETERS angstrom
4.810 0.000 0.000
0.000 4.810 0.000
0.000 0.000 4.810
! DOS(E_F) = 6.10 states/eV/f.u.

two:
! KCrAs3 PBE optimized geometry; values from VASP
&SYSTEM
  ibrav = 0, nat = 5, ntyp = 3
/
ATOMIC_SPECIES
K 39.10 K.upf
Cr 52.00 Cr.upf
As 74.92 As.upf
ATOMIC_POSITIONS angstrom
K 0.000 0.000 0.000
Cr 2.686 2.686 2.686
As 0.000 0.000 2.686
As 0.000 2.686 0.000
As 2.686 0.000 0.000
CELL_PARAMETERS angstrom
5.371 0.000 0.000
0.000 5.371 0.000
0.000 0.000 5.371
! DOS(E_F) = 7.72 states/eV/f.u.

Most stable to least stable, the ends of the list are one and two.

one:
! K2NaCrAs PBE optimized geometry; values from VASP
&SYSTEM
  ibrav = 0, nat = 5, ntyp = 4
/
ATOMIC_SPECIES
K 39.10 K.upf
Na 22.99 Na.upf
Cr 52.00 Cr.upf
As 74.92 As.upf
ATOMIC_POSITIONS angstrom
K 0.000 3.008 0.000
K 3.008 0.000 0.000
Na 0.000 0.000 0.000
Cr 0.000 0.000 2.703
As 3.008 3.008 2.703
CELL_PARAMETERS angstrom
6.016 0.000 0.000
0.000 6.016 0.000
0.000 0.000 5.406
! DOS(E_F) = 3.05 states/eV/f.u.

two:
! K2NaCrAs PBE optimized geometry; values from VASP
&SYSTEM
  ibrav = 0, nat = 5, ntyp = 4
/
ATOMIC_SPECIES
K 39.10 K.upf
Na 22.99 Na.upf
Cr 52.00 Cr.upf
As 74.92 As.upf
ATOMIC_POSITIONS angstrom
K 0.000 3.362 0.000
K 3.362 0.000 0.000
Na 0.000 0.000 2.348
Cr 3.362 3.362 0.000
As 3.362 3.362 2.348
CELL_PARAMETERS angstrom
6.724 0.000 0.000
0.000 6.724 0.000
0.000 0.000 4.696
! DOS(E_F) = 2.15 states/eV/f.u.

Most stable to least stable, the ends of the list are two and one.

one:
! LaCrAs2 PBE optimized geometry; values from VASP
&SYSTEM
  ibrav = 0, nat = 4, ntyp = 3
/
ATOMIC_SPECIES
La 138.91 La.upf
Cr 52.00 Cr.upf
As 74.92 As.upf
ATOMIC_POSITIONS angstrom
La 0.000 0.000 0.000
Cr 2.049 2.049 2.906
As 0.000 0.000 3.020
As 2.049 2.049 0.387
CELL_PARAMETERS angstrom
4.097 0.000 0.000
0.000 4.097 0.000
0.000 0.000 5.962
! DOS(E_F) = 1.66 states/eV/f.u.

two:
! LaCrAs2 PBE optimized geometry; values from VASP
&SYSTEM
  ibrav = 0, nat = 4, ntyp = 3
/
ATOMIC_SPECIES
La 138.91 La.upf
Cr 52.00 Cr.upf
As 74.92 As.upf
ATOMIC_POSITIONS angstrom
La 0.000 0.000 0.000
Cr 5.280 5.280 5.280
As 1.760 1.760 1.760
As 3.520 3.520 3.520
CELL_PARAMETERS angstrom
0.000 3.520 3.520
3.520 0.000 3.520
3.520 3.520 0.000
! DOS(E_F) = 3.95 states/eV/f.u.

three:
! LaCrAs2 PBE optimized geometry; values from VASP
&SYSTEM
  ibrav = 0, nat = 4, ntyp = 3
/
ATOMIC_SPECIES
La 138.91 La.upf
Cr 52.00 Cr.upf
As 74.92 As.upf
ATOMIC_POSITIONS angstrom
La 0.000 0.000 0.000
Cr 0.000 1.901 3.332
As 1.780 0.000 4.201
As 0.000 0.000 8.130
CELL_PARAMETERS angstrom
-1.780 1.901 6.616
1.780 -1.901 6.616
1.780 1.901 -6.616
! DOS(E_F) = 0.81 states/eV/f.u.

Most stable to least stable, the ends of the list are three and two.